The following is a PBE-GGA calculation of a relaxed AgGeTeO crystal, from the Open Quantum Materials Database.

The structure belongs to space group Pbca (No. 61); the cell edges are 7.8237, 7.8626 and 11.0588 Å and the angles 90.00°, 90.00° and 90.00°. The inequivalent atoms are Ag at (0.1939, 0.0919, 0.2271), Ge at (0.0123, 0.7289, 0.5653), Te at (0.2407, 0.5018, 0.9791) and O at (0.0439, 0.7386, 0.7227).

As for the raw total energy: -4.1500 eV/atom.